This record from the Alexandria database describes a relaxed IrAu2Se crystal. The functional is GGA-PBE.

formation energy (no corrections)	0.2243	eV per atom
total magnetization	0.000	μB per atom

abc: 3.0096 3.0096 8.1799
angles: 90.00 90.00 90.00
Positions (direct):
Ir 0.0000 0.0000 0.0000
Au 0.0000 0.0000 0.5029
Au 0.5000 0.5000 0.7475
Se 0.5000 0.5000 0.1667